[1]
The following is a PBE-GGA calculation of crystalline CuRe3Pb at its relaxed geometry, from Alexandria via LeMat-Bulk.

Unit cell a=4.5681 b=4.5681 c=4.5681 alpha=90.00 beta=90.00 gamma=90.00
Last column: nearest neighbours and their distance in Å.
Space group Pm-3m (No. 221)
Symmetry-distinct sites (fractional):
Cu 0.0000 0.0000 0.0000  6 Re 2.28
Re 0.0000 0.0000 0.5000  2 Cu 2.28
Pb 0.5000 0.5000 0.5000  12 Re 3.23

Values from the calculation:
Crystal system: cubic
E above lowest polymorph (meV/atom): 0.0
Energy relative to the elements (meV/atom): 2002.1
DFT total energy (eV per atom): -7.028


[2]
The following is a PBE-GGA calculation of crystalline Sc3CdHg5 at its relaxed geometry, from Alexandria via LeMat-Bulk.

Unit cell a=8.6554 b=8.6554 c=6.0459 alpha=90.00 beta=90.00 gamma=120.00
Last column: nearest neighbours and their distance in Å.
Space group P6_3/mcm (No. 193)
Symmetry-distinct sites (fractional):
Sc 0.0000 0.3440 0.2500  9 Hg 2.89-3.22
Cd 0.0000 0.0000 0.0000  2 Cd 3.02, 6 Hg 3.17, 6 Sc 3.34
Hg 0.0000 0.3218 0.7500  5 Sc 2.89-3.03, 2 Cd 3.17
Hg 0.3333 0.6667 0.0000  8 Hg 3.02-3.30, 6 Sc 3.22

Values from the calculation:
Crystal system: hexagonal
Energy relative to the elements (meV/atom): -305.6
DFT total energy (eV per atom): -2.685


[3]
The following is a PBE-GGA calculation of crystalline AlPdO3 at its relaxed geometry, from Alexandria via LeMat-Bulk.

Unit cell a=3.8923 b=3.8923 c=3.8923 alpha=90.00 beta=90.00 gamma=90.00
Last column: nearest neighbours and their distance in Å.
Space group Pm-3m (No. 221)
Symmetry-distinct sites (fractional):
Al 0.0000 0.0000 0.0000  12 O 2.75
Pd 0.5000 0.5000 0.5000  6 O 1.95
O 0.0000 0.5000 0.5000  2 Pd 1.95

Values from the calculation:
ΔE_f (raw) (eV/atom): -0.17
Crystal system: cubic
DFT total energy (eV per atom): -4.935


[4]
The following is a PBE-GGA calculation of crystalline Sm3Tl2Bi at its relaxed geometry, from Alexandria via LeMat-Bulk.

Unit cell a=15.3943 b=6.3831 c=8.2913 alpha=90.00 beta=105.67 gamma=90.00
Last column: nearest neighbours and their distance in Å.
Space group C2/c (No. 15)
Symmetry-distinct sites (fractional):
Sm 0.0000 0.0008 0.2500  2 Bi 3.19, 4 Tl 3.29-3.30
Sm 0.1598 0.4985 0.5804  2 Bi 3.15, 4 Tl 3.20-3.24
Tl 0.1727 0.0017 0.0854  6 Sm 3.20-3.30
Bi 0.0000 0.4991 0.7500  6 Sm 3.15-3.19

Values from the calculation:
Crystal system: monoclinic
Energy relative to the elements (meV/atom): -392.9
DFT total energy (eV per atom): -4.188


[5]
The following is a PBE-GGA calculation of crystalline Ca2Zn3Cd at its relaxed geometry, from Alexandria via LeMat-Bulk.

Unit cell a=7.4002 b=9.2803 c=16.1746 alpha=90.00 beta=90.00 gamma=90.00
Last column: nearest neighbours and their distance in Å.
Space group Fmmm (No. 69)
Symmetry-distinct sites (fractional):
Ca 0.2494 0.0000 0.0000  10 Zn 3.19-3.29, 2 Cd 3.27
Ca 0.2500 0.2500 0.2500  4 Cd 3.26, 8 Zn 3.29-3.30
Zn 0.0000 0.0000 0.1621  2 Zn 2.61, 1 Cd 2.77
Zn 0.0000 0.2430 0.0809  2 Zn 2.61-2.62, 1 Cd 2.76
Cd 0.0000 0.0000 0.3332  3 Zn 2.76-2.77

Values from the calculation:
Crystal system: orthorhombic
Energy relative to the elements (meV/atom): -278.4
DFT total energy (eV per atom): -1.735


[6]
The following is a PBE-GGA calculation of crystalline LiSmEr2Se4 at its relaxed geometry, from Alexandria via LeMat-Bulk.

Unit cell a=7.0475 b=4.0438 c=7.0486 alpha=90.00 beta=109.20 gamma=90.00
Last column: nearest neighbours and their distance in Å.
Space group P2/m (No. 10)
Symmetry-distinct sites (fractional):
Li 0.0000 0.0000 0.0000  6 Se 2.83-2.86
Sm 0.5000 0.5000 0.0000  6 Se 2.92
Er 0.0000 0.5000 0.5000  6 Se 2.83
Er 0.5000 0.0000 0.5000  6 Se 2.89-2.91
Se 0.2389 0.0000 0.7457  3 Er 2.83-2.91, 1 Li 2.83, 2 Sm 2.92
Se 0.2434 0.5000 0.2509  3 Er 2.83-2.89, 2 Li 2.86, 1 Sm 2.92

Values from the calculation:
ΔE_f (raw) (eV/atom): -1.73
Crystal system: monoclinic
DFT total energy (eV per atom): -5.445


[7]
The following is a PBE-GGA calculation of crystalline Ac2TlPd2 at its relaxed geometry, from Alexandria via LeMat-Bulk.

Unit cell a=8.2336 b=8.2336 c=4.0844 alpha=90.00 beta=90.00 gamma=90.00
Last column: nearest neighbours and their distance in Å.
Space group P4/mbm (No. 127)
Symmetry-distinct sites (fractional):
Ac 0.1756 0.3244 0.0000  6 Pd 3.10-3.23
Tl 0.0000 0.0000 0.5000  4 Pd 3.26
Pd 0.1239 0.6239 0.5000  1 Pd 2.89, 6 Ac 3.10-3.23

Values from the calculation:
Crystal system: tetragonal
Energy relative to the elements (meV/atom): -754.0
DFT total energy (eV per atom): -4.948


[8]
The following is a PBE-GGA calculation of crystalline TaTlCl2 at its relaxed geometry, from Alexandria via LeMat-Bulk.

Unit cell a=3.3045 b=3.3045 c=27.9020 alpha=90.00 beta=90.00 gamma=120.00
Last column: nearest neighbours and their distance in Å.
Space group R3m (No. 160, hexagonal axes)
Symmetry-distinct sites (fractional):
Ta 0.0000 0.0000 0.0000  3 Cl 2.53
Tl 0.0000 0.0000 0.2491  3 Cl 2.79, 3 Ta 3.03
Cl 0.0000 0.0000 0.5093  3 Tl 2.79
Cl 0.0000 0.0000 0.7260  3 Ta 2.53

Values from the calculation:
ΔE_f (raw) (eV/atom): -0.31
Crystal system: trigonal
E above lowest polymorph (meV/atom): 196.4
DFT total energy (eV per atom): -4.793


[9]
The following is a PBE-GGA calculation of crystalline KCdSnAu2 at its relaxed geometry, from Alexandria via LeMat-Bulk.

Unit cell a=4.7785 b=4.7785 c=11.7005 alpha=90.00 beta=90.00 gamma=90.00
Last column: nearest neighbours and their distance in Å.
Space group I-4m2 (No. 119)
Symmetry-distinct sites (fractional):
K 0.0000 0.0000 0.0000  8 Au 3.65, 4 Cd 3.78, 4 Sn 3.78
Cd 0.0000 0.5000 0.7500  4 Au 2.84
Sn 0.0000 0.5000 0.2500  4 Au 2.84
Au 0.0000 0.0000 0.3814  1 Au 2.77, 2 Cd 2.84, 2 Sn 2.84

Values from the calculation:
Crystal system: tetragonal
E above lowest polymorph (meV/atom): 0.0
Energy relative to the elements (meV/atom): -264.4
DFT total energy (eV per atom): -2.778


[10]
The following is a PBE-GGA calculation of crystalline ZrTeS2N at its relaxed geometry, from Alexandria via LeMat-Bulk.

Unit cell a=5.0934 b=5.0934 c=3.9098 alpha=90.00 beta=90.00 gamma=90.00
Last column: nearest neighbours and their distance in Å.
Space group P4/mmm (No. 123)
Symmetry-distinct sites (fractional):
Zr 0.0000 0.0000 0.0000  8 S 3.21
Te 0.5000 0.5000 0.5000  2 N 1.95
S 0.0000 0.5000 0.5000  2 Te 2.55
N 0.5000 0.5000 0.0000  2 Te 1.95

Values from the calculation:
ΔE_f (raw) (eV/atom): 0.66
Crystal system: tetragonal
E above lowest polymorph (meV/atom): 628.7
DFT total energy (eV per atom): -4.998